Ca2TbPt2 | PBE | relaxed

abc: 6.986 6.974 10.501
angles: 90.02 90.00 90.00
Atoms (fractional coordinates):
Ca: 0.750 0.500 0.000
Ca: 0.750 0.000 0.000
Ca: 0.250 0.000 0.000
Ca: 0.250 0.500 0.000
Ca: 0.250 0.000 0.670
Ca: 0.250 0.500 0.670
Ca: 0.750 0.500 0.330
Ca: 0.750 0.000 0.330
Tb: 0.750 0.500 0.658
Tb: 0.250 0.500 0.342
Tb: 0.750 0.000 0.658
Tb: 0.250 0.000 0.342
Pt: 0.980 0.250 0.826
Pt: 0.520 0.750 0.826
Pt: 0.480 0.250 0.174
Pt: 0.020 0.750 0.174
Pt: 0.507 0.250 0.506
Pt: 0.993 0.750 0.506
Pt: 0.007 0.250 0.494
Pt: 0.493 0.750 0.494

Summary:
space group	No. 57
uncorrected energy	-101.12	eV per cell
calculated formation energy	-4.6	eV/f.u.
total moment	0.0	μB per formula unit

=====

Ca2Tb2Pt3 | PBE | relaxed

abc: 4.898 4.899 8.613
angles: 90.01 106.52 119.99
Atoms (fractional coordinates):
Ca: 0.253 0.127 0.380
Ca: 0.747 0.873 0.620
Tb: 0.753 0.376 0.129
Tb: 0.247 0.624 0.871
Pt: 0.000 0.000 0.000
Pt: 0.511 0.255 0.766
Pt: 0.489 0.745 0.234

Summary:
space group	No. 166
uncorrected energy	-38.47	eV per cell
calculated formation energy	-7.1	eV/f.u.
total moment	0.0	μB per formula unit

=====

CaTbPt4 | PBE | relaxed

abc: 5.447 5.447 5.447
angles: 60.00 60.00 60.00
Atoms (fractional coordinates):
Ca: 0.000 0.000 0.000
Tb: 0.250 0.250 0.250
Pt: 0.625 0.625 0.125
Pt: 0.625 0.125 0.625
Pt: 0.625 0.625 0.625
Pt: 0.125 0.625 0.625

Summary:
space group	No. 216
uncorrected energy	-37.02	eV per cell
calculated formation energy	-6.2	eV/f.u.
total moment	0.0	μB per formula unit

=====

CaTbTh2Pt4 | PBE | relaxed

abc: 5.875 5.875 7.164
angles: 114.41 114.41 89.54
Atoms (fractional coordinates):
Ca: 0.467 0.467 0.000
Tb: 0.937 0.937 0.000
Th: 0.172 0.672 0.500
Th: 0.672 0.172 0.500
Pt: 0.968 0.435 0.000
Pt: 0.435 0.968 0.000
Pt: 0.169 0.169 0.494
Pt: 0.675 0.675 0.506

Summary:
space group	No. 42
uncorrected energy	-54.40	eV per cell
calculated formation energy	-8.8	eV/f.u.
total moment	0.0	μB per formula unit

=====

CaTbZnPt | PBE | relaxed

abc: 4.997 4.997 4.997
angles: 60.00 60.00 60.00
Atoms (fractional coordinates):
Zn: 0.750 0.750 0.750
Tb: 0.500 0.500 0.500
Ca: 0.000 0.000 0.000
Pt: 0.250 0.250 0.250

Summary:
space group	No. 216
uncorrected energy	-16.69	eV per cell
calculated formation energy	-2.7	eV/f.u.
E above lowest polymorph	52	meV per atom
total moment	0.0	μB per formula unit

=====

CaTbZnPt | PBE | relaxed

abc: 3.982 4.196 6.021
angles: 90.00 109.31 90.00
Atoms (fractional coordinates):
Ca: 0.148 0.000 0.295
Tb: 0.861 0.500 0.722
Zn: 0.570 0.500 0.140
Pt: 0.421 0.000 0.843

Summary:
space group	No. 38
uncorrected energy	-16.90	eV per cell
calculated formation energy	-3.0	eV/f.u.
E above lowest polymorph	0	meV per atom
total moment	0.0	μB per formula unit

=====

Ca2TcPt | PBE | relaxed

abc: 5.522 5.522 5.522
angles: 134.06 134.06 67.00
Atoms (fractional coordinates):
Ca: 0.000 0.000 0.000
Ca: 0.250 0.750 0.500
Tc: 0.750 0.250 0.500
Pt: 0.500 0.500 0.000

Summary:
space group	No. 119
uncorrected energy	-19.59	eV per cell
calculated formation energy	0.8	eV/f.u.
E above lowest polymorph	186	meV per atom
total moment	2.5	μB per formula unit

=====

CaTc2Pt | PBE | relaxed

abc: 9.816 9.816 9.816
angles: 16.67 16.67 16.67
Atoms (fractional coordinates):
Ca: 0.250 0.250 0.250
Tc: 0.007 0.007 0.007
Tc: 0.493 0.493 0.493
Pt: 0.750 0.750 0.750

Summary:
space group	No. 166
uncorrected energy	-26.65	eV per cell
calculated formation energy	2.1	eV/f.u.
E above lowest polymorph	523	meV per atom
total moment	0.0	μB per formula unit

=====

CaTc2Pt | PBE | relaxed

abc: 2.778 4.561 5.826
angles: 90.00 90.00 90.00
Atoms (fractional coordinates):
Ca: 0.500 0.500 0.250
Tc: 0.000 0.000 0.940
Tc: 0.000 0.000 0.560
Pt: 0.500 0.500 0.750

Summary:
space group	No. 47
uncorrected energy	-27.44	eV per cell
calculated formation energy	1.3	eV/f.u.
E above lowest polymorph	326	meV per atom
total moment	0.0	μB per formula unit

=====

CaTc2Pt | PBE | relaxed

abc: 5.408 5.408 5.408
angles: 145.23 126.77 65.16
Atoms (fractional coordinates):
Ca: 0.498 0.498 0.000
Tc: 0.014 0.014 0.000
Tc: 0.212 0.712 0.500
Pt: 0.776 0.276 0.500

Summary:
space group	No. 44
uncorrected energy	-27.86	eV per cell
calculated formation energy	0.9	eV/f.u.
E above lowest polymorph	221	meV per atom
total moment	0.0	μB per formula unit

=====

CaTcPt3 | PBE | relaxed

abc: 4.857 4.857 4.857
angles: 90.00 90.00 90.00
Atoms (fractional coordinates):
Ca: 0.500 0.500 0.500
Tc: 0.000 0.000 0.000
Pt: 0.000 0.500 0.000
Pt: 0.000 0.000 0.500
Pt: 0.500 0.000 0.000

Summary:
space group	No. 221
uncorrected energy	-29.08	eV per cell
calculated formation energy	1.4	eV/f.u.
E above lowest polymorph	0	meV per atom
total moment	0.0	μB per formula unit

=====

CaTc2Pt | PBE | relaxed

abc: 5.581 5.581 2.709
angles: 80.93 80.93 122.47
Atoms (fractional coordinates):
Ca: 0.500 0.000 0.500
Tc: 0.000 0.000 0.000
Tc: 0.500 0.500 0.000
Pt: 0.000 0.500 0.500

Summary:
space group	No. 12
uncorrected energy	-27.66	eV per cell
calculated formation energy	1.1	eV/f.u.
E above lowest polymorph	270	meV per atom
total moment	0.0	μB per formula unit

=====

> Look up the uncorrected energy of the seventh one.

-19.59 eV per cell

=====

> Which formula does entry 9 have?

CaTc2Pt

=====

> What is the formula in the sixth record?

CaTbZnPt